A relaxed structure of CsNpSe2O, computed with PBE-GGA.

The calculation puts the energy relative to the elements, uncorrected at -1632 meV per atom.

The space group is P2_1/m (No. 11) and the conventional cell measures 8.244, 4.269 and 9.717 Å, with angles of 90.00, 107.15 and 90.00 degrees. The inequivalent atoms are Cs at (0.185, 0.250, 0.315), Np at (0.321, 0.250, 0.834), Se at (0.324, 0.750, 0.038), Se at (0.342, 0.750, 0.653) and O at (0.086, 0.250, 0.776).

A relaxed structure of PaNi3B3, computed with PBE-GGA.

As for the raw total energy: -96.0 eV for the cell shown.

The space group is P2_1/m (No. 11) and the conventional cell measures 7.553, 3.084 and 7.570 Å, with angles of 90.00, 95.62 and 90.00 degrees. The inequivalent atoms are Pa at (0.216, 0.250, 0.261), Ni at (0.131, 0.250, 0.843), Ni at (0.193, 0.750, 0.607), Ni at (0.439, 0.250, 0.697), B at (0.021, 0.250, 0.569), B at (0.070, 0.750, 0.003) and B at (0.439, 0.750, 0.526).

A relaxed structure of K3Ac3GeS8, computed with PBE-GGA.

The calculation puts the energy relative to the elements, uncorrected at -1459 meV per atom.

The space group is R-3m (No. 166, hexagonal axes) and the conventional cell measures 8.5363, 8.5363 and 22.5681 Å, with angles of 90.00, 90.00 and 120.00 degrees. The inequivalent atoms are K at (0.0000, 0.5000, 0.0000), Ac at (0.0000, 0.5000, 0.5000), Ge at (0.0000, 0.0000, 0.5000), S at (0.0000, 0.0000, 0.2386) and S at (0.0501, 0.5250, 0.2300).

A relaxed structure of Cr2OsCl, computed with PBE-GGA.

The calculation puts the energy relative to the elements, uncorrected at 530 meV per atom. The value obtained for the energy above the most stable polymorph in this dataset is 360 meV/atom.

The space group is Cmm2 (No. 35) and the conventional cell measures 2.892, 4.758 and 9.153 Å, with angles of 90.00, 90.00 and 90.00 degrees. The inequivalent atoms are Cr at (0.000, 0.000, 0.000), Cr at (0.000, 0.500, 0.210), Os at (0.000, 0.000, 0.426) and Cl at (0.000, 0.500, 0.799).

A relaxed structure of TbMnC, computed with PBE-GGA.

The value obtained for the energy above the most stable polymorph in this dataset is 0 meV/atom.

The space group is Pnma (No. 62) and the conventional cell measures 8.742, 4.428 and 5.002 Å, with angles of 90.00, 90.00 and 90.00 degrees. The inequivalent atoms are Tb at (0.161, 0.250, 0.011), Mn at (0.000, 0.000, 0.500) and C at (0.093, 0.750, 0.240).

A relaxed structure of Pr3PaBi5, computed with PBE-GGA.

As for the raw total energy: -99.1 eV for the cell shown.

The space group is P6_3/mcm (No. 193) and the conventional cell measures 10.0340, 10.0340 and 6.4603 Å, with angles of 90.00, 90.00 and 120.00 degrees. The inequivalent atoms are Pr at (0.0000, 0.3827, 0.2500), Pa at (0.0000, 0.0000, 0.0000), Bi at (0.0000, 0.2743, 0.7500) and Bi at (0.3333, 0.6667, 0.0000).

A relaxed structure of BeAl2Hg, computed with PBE-GGA.

The value obtained for the energy above the most stable polymorph in this dataset is 27 meV/atom.

The space group is P4mm (No. 99) and the conventional cell measures 2.890, 2.890 and 7.829 Å, with angles of 90.00, 90.00 and 90.00 degrees. The inequivalent atoms are Be at (0.000, 0.000, 0.000), Al at (0.000, 0.000, 0.527), Al at (0.500, 0.500, 0.797) and Hg at (0.500, 0.500, 0.232).

A relaxed structure of KMg2InBr6, computed with PBE-GGA.

The calculation puts the energy relative to the elements, uncorrected at -1337 meV per atom.

The space group is C2/c (No. 15) and the conventional cell measures 14.748, 14.053 and 7.602 Å, with angles of 90.00, 100.96 and 90.00 degrees. The inequivalent atoms are K at (0.000, 0.208, 0.250), Mg at (0.206, 0.086, 0.778), In at (0.000, 0.401, 0.750), Br at (0.122, 0.406, 0.163), Br at (0.134, 0.235, 0.644) and Br at (0.143, 0.052, 0.067).

Please write out number 1 again, unchanged.
A relaxed structure of CsNpSe2O, computed with PBE-GGA.

The calculation puts the energy relative to the elements, uncorrected at -1632 meV per atom.

The space group is P2_1/m (No. 11) and the conventional cell measures 8.244, 4.269 and 9.717 Å, with angles of 90.00, 107.15 and 90.00 degrees. The inequivalent atoms are Cs at (0.185, 0.250, 0.315), Np at (0.321, 0.250, 0.834), Se at (0.324, 0.750, 0.038), Se at (0.342, 0.750, 0.653) and O at (0.086, 0.250, 0.776).

Which formula does entry 6 have?
Pr3PaBi5

Number 1 is which compound?
CsNpSe2O